Record 1
PaTaGe | Alexandria via LeMat-Bulk | PBE-GGA | relaxed; energy above the most stable polymorph in this dataset = 356.8 meV/atom; energy of formation = 0.034 eV per atom; DOS(E_F) = 14.677 states/eV/cell
1.0
-3.559 0.116 -3.170
2.068 -4.814 -2.499
-5.013 -4.980 5.446
Ge Pa Ta
4 4 4
direct
0.250 0.069 0.613
0.750 0.931 0.387
0.750 0.569 0.887
0.250 0.431 0.113
0.250 0.611 0.456
0.250 0.889 0.956
0.750 0.111 0.044
0.750 0.389 0.544
0.750 0.912 0.704
0.750 0.588 0.204
0.250 0.412 0.796
0.250 0.088 0.296


Record 2
Nb3TlSn | Alexandria via LeMat-Bulk | PBE-GGA | relaxed; energy above the most stable polymorph in this dataset = 270.6 meV/atom; energy of formation = 1.781 eV per atom; DOS(E_F) = 6.033 states/eV/cell
1.0
5.101 0.000 0.000
0.000 5.101 0.000
0.000 0.000 5.101
Tl Sn Nb
1 1 3
direct
0.000 0.000 0.000
0.500 0.500 0.500
0.000 0.500 0.000
0.000 0.000 0.500
0.500 0.000 0.000


Record 3
SmMnFeSi3 | Alexandria via LeMat-Bulk | PBE-GGA | relaxed; DOS(E_F) = 3.392 states/eV/cell; E_form (uncorrected) = -0.325 eV per atom
1.0
6.162 0.000 0.000
0.000 5.820 0.000
0.000 -2.910 5.549
Sm Mn Fe Si
2 2 2 6
direct
0.750 0.261 0.521
0.250 0.739 0.479
0.250 0.016 0.031
0.750 0.984 0.969
0.250 0.396 0.793
0.750 0.604 0.207
0.250 0.206 0.412
0.000 0.292 0.000
0.500 0.708 0.000
0.500 0.292 0.000
0.000 0.708 0.000
0.750 0.794 0.588


Record 4
AlP2WS | Alexandria via LeMat-Bulk | PBE-GGA | relaxed; energy above the most stable polymorph in this dataset = 0.0 meV/atom; DOS(E_F) = 4.199 states/eV/cell; E_form (uncorrected) = 0.434 eV per atom
1.0
4.763 0.000 0.000
0.000 4.763 0.000
0.000 0.000 4.666
P S Al W
2 1 1 1
direct
0.000 0.500 0.000
0.500 0.000 0.000
0.000 0.000 0.500
0.500 0.500 0.500
0.000 0.000 0.000


Record 5
SrNd12Co6 | Alexandria via LeMat-Bulk | PBE-GGA | relaxed; energy of formation = -0.037 eV per atom; DOS(E_F) = 17.585 states/eV/cell
1.0
8.340 0.000 -2.949
-4.170 7.223 -2.949
0.000 0.000 8.846
Sr Nd Co
1 12 6
direct
0.000 0.000 0.000
0.316 0.119 0.803
0.316 0.513 0.197
0.684 0.487 0.803
0.684 0.881 0.197
0.119 0.803 0.316
0.513 0.197 0.316
0.487 0.803 0.684
0.881 0.197 0.684
0.803 0.316 0.119
0.197 0.316 0.513
0.803 0.684 0.487
0.197 0.684 0.881
0.391 0.500 0.891
0.609 0.500 0.109
0.500 0.891 0.391
0.500 0.109 0.609
0.891 0.391 0.500
0.109 0.609 0.500


Record 6
RbCuBr2Cl | Alexandria via LeMat-Bulk | PBE-GGA | relaxed; energy above the most stable polymorph in this dataset = 168.8 meV/atom; DOS(E_F) = 7.273 states/eV/cell; E_form (uncorrected) = -0.760 eV per atom
1.0
-3.764 -2.949 -0.247
1.756 -2.547 3.654
-4.780 5.583 6.188
Cu Br Rb Cl
1 2 1 1
direct
0.000 0.000 0.000
0.000 0.500 0.000
0.500 0.000 0.000
0.000 0.000 0.500
0.500 0.500 0.500


Record 7
BeCoCu2 | Alexandria via LeMat-Bulk | PBE-GGA | relaxed; energy of formation = 0.055 eV per atom; DOS(E_F) = 1.996 states/eV/cell
1.0
3.885 -0.401 0.000
0.406 3.885 0.000
-2.145 -1.742 2.760
Be Co Cu
1 1 2
direct
0.500 0.500 0.000
0.750 0.250 0.500
0.000 0.000 0.000
0.250 0.750 0.500


Record 8
BTeS3 | Alexandria via LeMat-Bulk | PBE-GGA | relaxed; energy above the most stable polymorph in this dataset = 0.0 meV/atom; DOS(E_F) = 5.475 states/eV/cell; E_form (uncorrected) = -0.119 eV per atom
1.0
-3.782 8.710 2.328
-5.128 -3.026 2.987
4.743 0.389 6.248
B Te S
4 4 12
direct
0.103 0.573 0.424
0.897 0.427 0.576
0.603 0.927 0.076
0.397 0.073 0.924
0.738 0.026 0.732
0.262 0.974 0.268
0.238 0.474 0.768
0.762 0.526 0.232
0.000 0.677 0.628
0.000 0.323 0.372
0.500 0.823 0.872
0.500 0.177 0.128
0.709 0.450 0.516
0.291 0.550 0.484
0.209 0.050 0.984
0.791 0.950 0.016
0.091 0.703 0.224
0.909 0.297 0.776
0.591 0.797 0.276
0.409 0.203 0.724


Record 9
Cs2In5Hg12 | Alexandria via LeMat-Bulk | PBE-GGA | relaxed; energy of formation = -0.092 eV per atom; DOS(E_F) = 5.913 states/eV/cell
1.0
-1.104 -7.241 4.090
7.933 -2.721 -0.245
2.371 2.573 7.625
Cs In Hg
2 5 12
direct
0.658 0.658 0.658
0.342 0.342 0.342
0.000 0.000 0.500
0.000 0.500 0.000
0.500 0.000 0.000
0.904 0.904 0.904
0.096 0.096 0.096
0.292 0.708 0.000
0.708 0.000 0.292
0.000 0.292 0.708
0.708 0.292 0.000
0.292 0.000 0.708
0.000 0.708 0.292
0.355 0.355 0.847
0.355 0.847 0.355
0.847 0.355 0.355
0.645 0.153 0.645
0.645 0.645 0.153
0.153 0.645 0.645


Record 10
SmHoTm2Sc2 | Alexandria via LeMat-Bulk | PBE-GGA | relaxed; energy of formation = 0.282 eV per atom; DOS(E_F) = 20.104 states/eV/cell
1.0
-0.105 -3.172 -1.002
1.403 -1.877 5.795
-16.768 -0.660 3.846
Sm Ho Tm Sc
2 2 4 4
direct
0.000 0.000 0.000
0.500 0.500 0.500
0.500 0.500 0.000
0.000 0.000 0.500
0.500 0.277 0.309
0.000 0.777 0.191
0.500 0.723 0.691
0.000 0.223 0.809
0.500 0.780 0.353
0.500 0.220 0.647
0.000 0.720 0.853
0.000 0.280 0.147


Record 11
Ce2PrTmTl4 | Alexandria via LeMat-Bulk | PBE-GGA | relaxed; energy of formation = -0.273 eV per atom; DOS(E_F) = 18.840 states/eV/cell
1.0
-4.164 0.431 3.527
-2.776 -4.467 1.515
3.370 -2.552 8.537
Ce Pr Tm Tl
2 1 1 4
direct
0.751 0.751 0.746
0.249 0.249 0.254
0.000 0.000 0.000
0.500 0.500 0.500
0.377 0.377 0.869
0.873 0.873 0.380
0.127 0.127 0.620
0.623 0.623 0.131


Record 12
Cu2AgP | Alexandria via LeMat-Bulk | PBE-GGA | relaxed; energy of formation = 0.205 eV per atom; DOS(E_F) = 1.501 states/eV/cell
1.0
4.759 -0.029 0.000
1.766 4.420 0.000
-3.263 -2.196 2.681
Ag Cu P
1 2 1
direct
0.750 0.250 0.500
0.000 0.000 0.000
0.250 0.750 0.500
0.500 0.500 0.000